No. 1
The following is a DFT calculation (GGA-PBE) of a geometry-optimized CsErVS4 structure.

Summary:
* formation energy (no corrections): -1.38 eV/atom
* V: 28.5 Å³/atom
* DOS at the Fermi energy: 7.54 states/eV per cell
* magnetization: 0.14 μB/atom

Cell lengths 6.5204, 6.8099, 9.4506 Å; angles 90.00, 108.29, 90.00 degrees
Sites, in units of the cell vectors:
Er1 0.7931 0.7500 0.4580
Er2 0.2069 0.2500 0.5420
Cs1 0.2549 0.2500 0.0568
Cs2 0.7451 0.7500 0.9432
S1 0.9964 0.4958 0.6856
S2 0.5474 0.2500 0.4248
S3 0.0036 0.5042 0.3144
S4 0.4407 0.7500 0.1970
S5 0.4526 0.7500 0.5752
S6 0.0036 0.9958 0.3144
S7 0.5593 0.2500 0.8030
S8 0.9964 0.0042 0.6856
V1 0.2456 0.7500 0.3476
V2 0.7544 0.2500 0.6524

No. 2
The following is a DFT calculation (GGA-PBE) of a geometry-optimized Cs3Y2ErS6 structure.

Summary:
* formation energy (no corrections): -1.84 eV/atom
* V: 29.3 Å³/atom
* DOS at the Fermi energy: 0.00 states/eV per cell
* magnetization: 0.00 μB/atom

Cell lengths 7.0987, 7.0987, 8.4024 Å; angles 98.09, 98.09, 120.01 degrees
Sites, in units of the cell vectors:
Cs1 0.1672 0.8328 0.5000
Cs2 0.5000 0.5000 0.5000
Cs3 0.8328 0.1672 0.5000
Y1 0.6666 0.3334 0.0000
Y2 0.3334 0.6666 0.0000
S1 0.7297 0.7297 0.1815
S2 0.0604 0.3912 0.1813
S3 0.3912 0.0604 0.1813
S4 0.6088 0.9396 0.8187
S5 0.9396 0.6088 0.8187
S6 0.2703 0.2703 0.8185
Er1 0.0000 0.0000 0.0000

No. 3
The following is a DFT calculation (GGA-PBE) of a geometry-optimized CsErZnS3 structure.

Summary:
* formation energy (no corrections): -1.50 eV/atom
* V: 28.7 Å³/atom
* DOS at the Fermi energy: 0.00 states/eV per cell
* magnetization: 0.00 μB/atom

Cell lengths 4.0129, 9.3516, 9.9127 Å; angles 111.99, 90.00, 90.00 degrees
Sites, in units of the cell vectors:
Zn1 0.2500 0.0834 0.6114
Zn2 0.7500 0.9166 0.3886
Cs1 0.2500 0.2178 0.2427
Cs2 0.7500 0.7822 0.7573
S1 0.2500 0.8121 0.4532
S2 0.2500 0.5231 0.8493
S3 0.7500 0.4769 0.1507
S4 0.7500 0.8711 0.1438
S5 0.2500 0.1289 0.8562
S6 0.7500 0.1879 0.5468
Er1 0.2500 0.6670 0.1379
Er2 0.7500 0.3330 0.8621

Question: Number 2 is which compound?
Answer: Cs3Y2ErS6

Question: Among the records above, which one has the highest magnetization?
Answer: CsErVS4